# 1
Computed, not measured: an optimized crystal structure of ZrCoNiC2 at the GGA-PBE level of DFT.

The calculation puts the calculated volume at 12.2 A^3/atom. The density comes out at 6.35 g cm⁻³. The magnetic moment is 0.000 μB per formula unit. The calculation puts the energy of formation from the pure elements at 1.2122 eV per atom. The calculation puts the density of states at the Fermi level at 3.80 states/eV/cell. As for the total energy: -6.76 eV per atom.

POSCAR file:
```
ZrCoNiC2
1.0
3.680 0.000 0.000
0.000 4.494 0.000
0.000 0.000 3.680
Ni C Co Zr
1 2 1 1
Cartesian
0.000 0.000 0.000
0.000 0.000 1.840
1.840 0.000 0.000
0.000 2.247 0.000
1.840 2.247 1.840
```

---

# 2
Computed, not measured: an optimized crystal structure of ZrCo2NiC at the GGA-PBE level of DFT.

The calculation puts the calculated volume at 11.7 A^3/atom. The density comes out at 7.96 g cm⁻³. The magnetic moment is 1.452 μB per formula unit. The calculation puts the energy of formation from the pure elements at -0.1496 eV per atom. The calculation puts the density of states at the Fermi level at 3.40 states/eV/cell. As for the total energy: -7.70 eV per atom.

POSCAR file:
```
ZrCo2NiC
1.0
-0.468 3.565 1.456
-0.056 -1.473 3.589
3.849 0.411 0.229
Ni C Co Zr
1 1 2 1
Cartesian
1.924 0.206 0.115
0.000 0.000 0.000
-0.028 -0.736 1.794
-0.234 1.783 0.728
1.662 1.252 2.637
```

---

# 3
Computed, not measured: an optimized crystal structure of Zr2CoNiC at the GGA-PBE level of DFT.

The calculation puts the calculated volume at 18.0 A^3/atom. The density comes out at 5.76 g cm⁻³. The magnetic moment is 0.720 μB per formula unit. The calculation puts the energy of formation from the pure elements at 1.2369 eV per atom. The calculation puts the density of states at the Fermi level at 5.59 states/eV/cell. As for the total energy: -6.60 eV per atom.

POSCAR file:
```
Zr2CoNiC
1.0
-0.743 -0.815 4.546
2.349 -3.372 -0.221
3.768 2.555 1.074
Ni C Co Zr
1 1 1 2
Cartesian
1.174 -1.686 -0.110
2.687 -0.816 2.699
0.000 0.000 0.000
1.884 1.277 0.537
-0.371 -0.408 2.273
```

---

# 4
Computed, not measured: an optimized crystal structure of NpCoC2 at the GGA-PBE level of DFT.

The calculation puts the calculated volume at 12.1 A^3/atom. The density comes out at 10.99 g cm⁻³. The magnetic moment is 3.558 μB per formula unit. The calculation puts the energy of formation from the pure elements at -0.0015 eV per atom. The calculation puts the density of states at the Fermi level at 31.39 states/eV/cell. As for the total energy: -9.63 eV per atom.

POSCAR file:
```
NpCoC2
1.0
-2.548 2.035 -1.663
-1.850 -3.035 -0.879
-7.357 0.901 12.373
Np Co C
4 4 8
Cartesian
-6.596 -0.535 2.394
-6.526 -1.840 6.734
-3.366 1.514 -0.038
-6.974 0.659 10.489
-9.912 0.266 10.416
-3.753 -0.956 1.557
-7.579 0.806 7.561
-5.097 0.035 4.889
-6.637 0.713 5.897
-8.960 0.105 8.763
-4.098 -0.043 3.258
-2.742 -1.101 -0.062
-6.672 1.098 4.539
-8.802 -0.688 7.605
-3.110 0.609 2.489
-1.561 -1.627 -0.631
```

---

# 5
Computed, not measured: an optimized crystal structure of NpCoC2 at the GGA-PBE level of DFT.

The calculation puts the calculated volume at 10.9 A^3/atom. The density comes out at 12.24 g cm⁻³. The magnetic moment is 1.999 μB per formula unit. The calculation puts the energy of formation from the pure elements at 0.2786 eV per atom. The calculation puts the density of states at the Fermi level at 4.86 states/eV/cell. As for the total energy: -9.35 eV per atom.

POSCAR file:
```
NpCoC2
1.0
3.265 0.000 0.000
1.632 2.827 0.000
1.632 0.942 4.701
Np C Co
1 2 1
Cartesian
3.265 1.885 2.351
1.632 0.942 0.881
4.897 2.827 3.820
0.000 0.000 0.000
```

---

# 6
Computed, not measured: an optimized crystal structure of NpCoC2 at the GGA-PBE level of DFT.

The calculation puts the calculated volume at 12.0 A^3/atom. The density comes out at 11.06 g cm⁻³. The magnetic moment is 3.556 μB per formula unit. The calculation puts the energy of formation from the pure elements at 0.0057 eV per atom. The calculation puts the density of states at the Fermi level at 7.82 states/eV/cell. As for the total energy: -9.62 eV per atom.

POSCAR file:
```
NpCoC2
1.0
-0.866 1.779 -2.962
-3.106 -2.058 -0.329
-0.977 2.962 2.065
Np Co C
1 1 2
Cartesian
-3.102 -2.049 -0.325
-2.239 1.897 -0.348
-3.529 0.498 -0.812
-2.255 0.216 -1.353
```

---

# 7
Computed, not measured: an optimized crystal structure of NpCo2SiC at the GGA-PBE level of DFT.

The calculation puts the calculated volume at 13.0 A^3/atom. The density comes out at 10.12 g cm⁻³. The value obtained for the uncorrected formation energy is -338 meV per atom. The magnetic moment is 3.697 μB per formula unit. The calculation puts the density of states at the Fermi level at 16.44 states/eV/cell. As for the total energy: -8.70 eV per atom.

POSCAR file:
```
NpCo2SiC
1.0
3.674 0.000 0.000
-1.837 5.313 0.000
0.000 0.000 6.642
Np Co Si C
2 4 2 2
Cartesian
0.000 4.805 4.982
1.837 0.508 1.661
0.000 1.773 6.271
1.837 3.541 0.371
0.000 1.773 3.692
1.837 3.541 2.950
1.837 2.419 4.982
0.000 2.895 1.661
0.000 0.000 0.000
0.000 0.000 3.321
```